DFT (meta-GGA SCAN) results for a PBEsol-optimized structure of CuPtCl2.

a b c (Å): 3.130 3.636 6.887
angles (deg): 105.31 103.14 90.00
Atoms (fractional coordinates):
Cu 0.545 0.545 0.089
Pt 0.213 0.713 0.427
Cl 0.995 0.995 0.991
Cl 0.747 0.247 0.494

density = 7.447 g cm⁻³
formation energy (no corrections) = 0.0873 eV/atom
space-group type = Imm2 (44)
relative energy among the computed polymorphs = 162 meV/atom
uncorrected energy = -25.250 eV per atom

DFT (meta-GGA SCAN) results for a PBEsol-optimized structure of CuPtCl.

a b c (Å): 4.150 4.150 4.150
angles (deg): 60.00 60.00 60.00
Atoms (fractional coordinates):
Cu 0.250 0.250 0.250
Pt 0.000 0.000 0.000
Cl 0.500 0.500 0.500

density = 9.664 g cm⁻³
formation energy (no corrections) = 0.6704 eV/atom
space-group type = F-43m (216)
relative energy among the computed polymorphs = 189 meV/atom
uncorrected energy = -30.453 eV per atom

DFT (meta-GGA SCAN) results for a PBEsol-optimized structure of CuPtCl2.

a b c (Å): 3.222 3.222 7.790
angles (deg): 90.00 90.00 115.21
Atoms (fractional coordinates):
Cu 0.000 0.000 0.494
Pt 0.500 0.500 0.271
Cl 0.000 0.000 0.063
Cl 0.500 0.500 0.673

density = 7.480 g cm⁻³
formation energy (no corrections) = -0.0750 eV/atom
space-group type = Cmm2 (35)
relative energy among the computed polymorphs = 0 meV/atom
uncorrected energy = -25.412 eV per atom

DFT (meta-GGA SCAN) results for a PBEsol-optimized structure of CuPt2Cl.

a b c (Å): 4.292 4.453 4.292
angles (deg): 61.19 90.00 118.81
Atoms (fractional coordinates):
Cu 0.750 0.500 0.750
Pt 0.000 0.000 0.000
Pt 0.250 0.500 0.250
Cl 0.500 0.000 0.500

density = 13.532 g cm⁻³
formation energy (no corrections) = 0.5887 eV/atom
space-group type = I-4m2 (119)
relative energy among the computed polymorphs = 218 meV/atom
uncorrected energy = -40.302 eV per atom

DFT (meta-GGA SCAN) results for a PBEsol-optimized structure of CuPt2Cl.

a b c (Å): 2.853 2.853 7.244
angles (deg): 90.00 90.00 90.00
Atoms (fractional coordinates):
Cu 0.500 0.500 0.500
Pt 0.000 0.000 0.723
Pt 0.000 0.000 0.277
Cl 0.500 0.500 0.000

density = 13.777 g cm⁻³
formation energy (no corrections) = 0.3704 eV/atom
space-group type = P4/mmm (123)
relative energy among the computed polymorphs = 0 meV/atom
uncorrected energy = -40.520 eV per atom

DFT (meta-GGA SCAN) results for a PBEsol-optimized structure of CuPtCl.

a b c (Å): 2.879 4.234 4.234
angles (deg): 120.00 90.00 90.00
Atoms (fractional coordinates):
Cu 0.668 0.333 0.667
Pt 0.166 0.667 0.333
Cl 0.167 0.000 0.000

density = 10.925 g cm⁻³
formation energy (no corrections) = 0.4810 eV/atom
space-group type = P-6m2 (187)
relative energy among the computed polymorphs = 0 meV/atom
uncorrected energy = -30.642 eV per atom

DFT (meta-GGA SCAN) results for a PBEsol-optimized structure of CuPt2Cl.

a b c (Å): 2.781 4.673 4.673
angles (deg): 106.07 90.00 90.00
Atoms (fractional coordinates):
Cu 0.500 0.500 0.500
Pt 0.000 0.500 0.000
Pt 0.000 0.000 0.500
Cl 0.500 0.000 0.000

density = 13.920 g cm⁻³
formation energy (no corrections) = 0.5838 eV/atom
space-group type = Cmmm (65)
relative energy among the computed polymorphs = 213 meV/atom
uncorrected energy = -40.307 eV per atom

DFT (meta-GGA SCAN) results for a PBEsol-optimized structure of RbCuCl2.

a b c (Å): 6.348 6.348 6.348
angles (deg): 106.85 110.80 110.80
Atoms (fractional coordinates):
Cu 0.500 0.250 0.750
Cu 0.000 0.500 0.500
Rb 0.500 0.750 0.250
Rb 0.000 0.000 0.000
Cl 0.899 0.524 0.125
Cl 0.101 0.226 0.625
Cl 0.399 0.875 0.774
Cl 0.601 0.375 0.476

density = 3.714 g cm⁻³
formation energy (no corrections) = -1.3157 eV/atom
space-group type = I-42d (122)
uncorrected energy = -14.289 eV per atom

DFT (meta-GGA SCAN) results for a PBEsol-optimized structure of Rb2CuCl4.

a b c (Å): 4.837 4.837 8.584
angles (deg): 106.36 106.36 90.00
Atoms (fractional coordinates):
Rb 0.359 0.359 0.718
Rb 0.641 0.641 0.282
Cu 0.000 0.000 0.000
Cl 0.150 0.150 0.301
Cl 0.850 0.850 0.699
Cl 0.500 0.000 0.000
Cl 0.000 0.500 0.000

density = 3.393 g cm⁻³
formation energy (no corrections) = -1.5502 eV/atom
space-group type = I4/mmm (139)
uncorrected energy = -14.206 eV per atom

DFT (meta-GGA SCAN) results for a PBEsol-optimized structure of RbCuCl3.

a b c (Å): 6.156 6.925 11.619
angles (deg): 90.00 90.00 90.00
Atoms (fractional coordinates):
Rb 0.250 0.500 0.839
Rb 0.750 0.000 0.661
Rb 0.750 0.500 0.161
Rb 0.250 0.000 0.339
Cu 0.500 0.000 0.000
Cu 0.000 0.500 0.500
Cu 0.500 0.500 0.500
Cu 0.000 0.000 0.000
Cl 0.750 0.500 0.649
Cl 0.250 0.000 0.851
Cl 0.250 0.500 0.351
Cl 0.750 0.000 0.149
Cl 0.686 0.756 0.913
Cl 0.186 0.744 0.587
Cl 0.314 0.256 0.587
Cl 0.814 0.244 0.913
Cl 0.186 0.756 0.087
Cl 0.686 0.744 0.413
Cl 0.814 0.256 0.413
Cl 0.314 0.244 0.087

density = 3.424 g cm⁻³
formation energy (no corrections) = -1.3122 eV/atom
space-group type = Pbcn (60)
uncorrected energy = -13.287 eV per atom

Q: Which formula does entry 3 have?
A: CuPtCl2